No. 1
{"formula": "ZnAs2W", "functional": "PBE-GGA", "state": "relaxed", "lattice": [[-0.826, -0.744, -4.298], [0.055, -4.376, 0.746], [-3.218, 0.063, 0.607]], "species": ["W", "As", "As", "Zn"], "fractional_positions": [[0.500, 0.000, 0.500], [0.500, 0.500, 0.000], [0.000, 0.000, 0.000], [0.000, 0.500, 0.500]], "ef_mev_per_atom": 456, "spacegroup": "P4/mmm, No. 123"}

---

No. 2
{"formula": "Tc3PtC", "functional": "PBE-GGA", "state": "relaxed", "lattice": [[4.767, 0.000, 0.000], [0.000, 4.767, 0.000], [0.000, 0.000, 4.767]], "species": ["Pt", "C", "Tc", "Tc", "Tc"], "fractional_positions": [[0.000, 0.000, 0.000], [0.500, 0.500, 0.500], [0.000, 0.000, 0.500], [0.000, 0.500, 0.000], [0.500, 0.000, 0.000]], "ef_mev_per_atom": 3212, "spacegroup": "Pm-3m, No. 221", "e_above_lowest_polymorph_kcal_per_mol_atoms": 72.294}

---

No. 3
{"formula": "Ce12Hg6Ru", "functional": "PBE-GGA", "state": "relaxed", "lattice": [[-5.809, -2.076, 4.927], [4.680, 1.428, 6.196], [-2.527, 7.476, 0.246]], "species": ["Ce", "Ce", "Ce", "Ce", "Ce", "Ce", "Ce", "Ce", "Ce", "Ce", "Ce", "Ce", "Ru", "Hg", "Hg", "Hg", "Hg", "Hg", "Hg"], "fractional_positions": [[0.061, 0.142, 0.345], [0.491, 0.586, 0.228], [0.414, 0.772, 0.509], [0.586, 0.228, 0.491], [0.345, 0.061, 0.142], [0.142, 0.345, 0.061], [0.772, 0.509, 0.414], [0.228, 0.491, 0.586], [0.509, 0.414, 0.772], [0.858, 0.655, 0.939], [0.939, 0.858, 0.655], [0.655, 0.939, 0.858], [0.000, 0.000, 0.000], [0.270, 0.733, 0.907], [0.730, 0.267, 0.093], [0.267, 0.093, 0.730], [0.093, 0.730, 0.267], [0.907, 0.270, 0.733], [0.733, 0.907, 0.270]], "ef_mev_per_atom": -113, "spacegroup": "R-3, No. 148"}

---

No. 4
{"formula": "Ti3IBr", "functional": "PBE-GGA", "state": "relaxed", "lattice": [[4.794, 0.000, 0.000], [0.000, 4.794, 0.000], [0.000, 0.000, 4.794]], "species": ["Br", "I", "Ti", "Ti", "Ti"], "fractional_positions": [[0.000, 0.000, 0.000], [0.500, 0.500, 0.500], [0.000, 0.000, 0.500], [0.500, 0.000, 0.000], [0.000, 0.500, 0.000]], "spacegroup": "Pm-3m, No. 221", "formation_energy_uncorrected_ev_per_fu": 3.26, "e_above_lowest_polymorph_kcal_per_mol_atoms": 0.000}

---

No. 5
{"formula": "Be2CdBr", "functional": "PBE-GGA", "state": "relaxed", "lattice": [[0.000, 3.363, 3.363], [3.363, 0.000, 3.363], [3.363, 3.363, 0.000]], "species": ["Be", "Be", "Br", "Cd"], "fractional_positions": [[0.250, 0.250, 0.250], [0.750, 0.750, 0.750], [0.000, 0.000, 0.000], [0.500, 0.500, 0.500]], "spacegroup": "Fm-3m, No. 225", "formation_energy_uncorrected_ev_per_fu": 4.28, "e_above_lowest_polymorph_kcal_per_mol_atoms": 17.987}

---

No. 6
{"formula": "SrHf2ZnAg", "functional": "PBE-GGA", "state": "relaxed", "lattice": [[4.993, 0.000, 0.000], [0.000, 5.769, 0.000], [0.000, 0.000, 4.993]], "species": ["Zn", "Sr", "Hf", "Hf", "Ag"], "fractional_positions": [[0.000, 0.000, 0.000], [0.000, 0.500, 0.000], [0.000, 0.000, 0.500], [0.500, 0.000, 0.000], [0.500, 0.500, 0.500]], "ef_mev_per_atom": 752, "spacegroup": "P4/mmm, No. 123"}

---

No. 7
{"formula": "BaGa2TcAs", "functional": "PBE-GGA", "state": "relaxed", "lattice": [[4.923, 0.000, 0.000], [0.000, 4.923, 0.000], [0.000, 0.000, 4.914]], "species": ["As", "Ga", "Ga", "Ba", "Tc"], "fractional_positions": [[0.000, 0.000, 0.500], [0.000, 0.500, 0.000], [0.500, 0.000, 0.000], [0.500, 0.500, 0.500], [0.000, 0.000, 0.000]], "ef_mev_per_atom": -355, "spacegroup": "P4/mmm, No. 123"}

---

No. 8
{"formula": "Nd3ThO", "functional": "PBE-GGA", "state": "relaxed", "lattice": [[-2.511, -2.758, 3.496], [1.516, -4.303, -2.306], [4.187, -0.096, 2.932]], "species": ["O", "Nd", "Nd", "Nd", "Th"], "fractional_positions": [[0.000, 0.000, 0.000], [0.000, 0.500, 0.000], [0.000, 0.000, 0.500], [0.500, 0.000, 0.000], [0.500, 0.500, 0.500]], "spacegroup": "Pm-3m, No. 221", "formation_energy_uncorrected_ev_per_fu": -5.09}

---

No. 9
{"formula": "Cr2IrAu", "functional": "PBE-GGA", "state": "relaxed", "lattice": [[-0.618, -5.230, -0.058], [2.893, -2.870, -3.337], [-0.124, 3.341, 4.070]], "species": ["Ir", "Au", "Cr", "Cr"], "fractional_positions": [[0.477, 0.477, 0.000], [0.756, 0.256, 0.500], [0.023, 0.023, 0.000], [0.244, 0.744, 0.500]], "ef_mev_per_atom": 207, "spacegroup": "Imm2, No. 44", "e_above_lowest_polymorph_kcal_per_mol_atoms": 2.192}

---

No. 10
{"formula": "Ag2GeRhAu", "functional": "PBE-GGA", "state": "relaxed", "lattice": [[-0.070, -2.709, -4.326], [0.769, -3.806, 2.371], [-5.031, -0.695, 0.516]], "species": ["Au", "Rh", "Ag", "Ag", "Ge"], "fractional_positions": [[0.500, 0.500, 0.500], [0.000, 0.000, 0.000], [0.000, 0.000, 0.500], [0.500, 0.000, 0.000], [0.000, 0.500, 0.000]], "ef_mev_per_atom": 651, "spacegroup": "P4/mmm, No. 123"}

---

No. 11
{"formula": "SrMgSe2N", "functional": "PBE-GGA", "state": "relaxed", "lattice": [[5.777, 0.000, 0.000], [0.000, 5.777, 0.000], [0.000, 0.000, 4.766]], "species": ["Sr", "Se", "Se", "N", "Mg"], "fractional_positions": [[0.000, 0.000, 0.000], [0.500, 0.000, 0.000], [0.000, 0.500, 0.000], [0.000, 0.000, 0.500], [0.500, 0.500, 0.500]], "spacegroup": "P4/mmm, No. 123", "formation_energy_uncorrected_ev_per_fu": 2.41, "e_above_lowest_polymorph_kcal_per_mol_atoms": 19.777}

---

No. 12
{"formula": "NaSr2LaTi4O12", "functional": "PBE-GGA", "state": "relaxed", "lattice": [[-1.100, -4.258, -3.340], [4.261, -2.782, 2.144], [-4.771, -3.075, 5.491]], "species": ["Ti", "Ti", "Ti", "Ti", "Sr", "Sr", "O", "O", "O", "O", "O", "O", "O", "O", "O", "O", "O", "O", "La", "Na"], "fractional_positions": [[0.000, 0.500, 0.753], [0.500, 0.000, 0.753], [0.500, 0.000, 0.247], [0.000, 0.500, 0.247], [0.000, 0.000, 0.500], [0.500, 0.500, 0.500], [0.791, 0.791, 0.756], [0.280, 0.720, 0.751], [0.000, 0.500, 0.500], [0.500, 0.000, 0.500], [0.280, 0.280, 0.249], [0.720, 0.720, 0.249], [0.209, 0.209, 0.756], [0.209, 0.791, 0.244], [0.000, 0.500, 0.000], [0.500, 0.000, 0.000], [0.720, 0.280, 0.751], [0.791, 0.209, 0.244], [0.000, 0.000, 0.000], [0.500, 0.500, 0.000]], "spacegroup": "P-42m, No. 111", "formation_energy_uncorrected_ev_per_fu": -61.50, "e_above_lowest_polymorph_kcal_per_mol_atoms": 0.000}

---

Number 1: E -5.426 eV per atom, DOS(E_F) 2.6 states/eV/cell. Number 2: E -6.060 eV per atom, DOS(E_F) 9.4 states/eV/cell. Number 3: E -4.444 eV per atom, DOS(E_F) 45.0 states/eV/cell. Number 4: E -4.729 eV per atom, DOS(E_F) 5.7 states/eV/cell. Number 5: E -1.439 eV per atom, DOS(E_F) 3.8 states/eV/cell. Number 6: E -4.390 eV per atom, DOS(E_F) 4.5 states/eV/cell. Number 7: E -4.954 eV per atom, DOS(E_F) 2.5 states/eV/cell. Number 8: E -6.354 eV per atom, DOS(E_F) 5.1 states/eV/cell. Number 9: E -7.639 eV per atom, DOS(E_F) 4.1 states/eV/cell. Number 10: E -3.539 eV per atom, DOS(E_F) 2.3 states/eV/cell. Number 11: E -3.232 eV per atom, DOS(E_F) 4.6 states/eV/cell. Number 12: E -8.109 eV per atom, DOS(E_F) 0.0 states/eV/cell.